(1)
## LaTcBr (GGA-PBEsol)

Data for a geometry-optimized LaTcBr structure.

Structure (POSCAR):
```
LaTcBr
1.0
0.000 3.339 3.339
3.339 0.000 3.339
3.339 3.339 0.000
La Tc Br
1 1 1
Direct
0.000 0.000 0.000
0.500 0.500 0.500
0.250 0.250 0.250
```

SG ... F-43m, No. 216
Formation energy (no corrections) ... 0.504 eV per atom
DOS at the Fermi energy ... 3.453 states/eV per cell

---

(2)
## LaTc4Br (GGA-PBEsol)

Data for a geometry-optimized LaTc4Br structure.

Structure (POSCAR):
```
LaTc4Br
1.0
0.000 3.770 3.770
3.770 0.000 3.770
3.770 3.770 0.000
La Tc Br
1 4 1
Direct
0.000 0.000 0.000
0.128 0.624 0.624
0.624 0.128 0.624
0.624 0.624 0.128
0.624 0.624 0.624
0.250 0.250 0.250
```

SG ... F-43m, No. 216
Formation energy (no corrections) ... 0.630 eV per atom
DOS at the Fermi energy ... 7.198 states/eV per cell

---

(3)
## LaZnTc2Br (GGA-PBEsol)

Data for a geometry-optimized LaZnTc2Br structure.

Structure (POSCAR):
```
LaZnTc2Br
1.0
4.910 0.000 0.000
0.000 4.910 0.000
0.000 0.000 5.722
La Zn Tc Br
1 1 2 1
Direct
0.000 0.000 0.000
0.500 0.500 0.500
0.000 0.500 0.000
0.500 0.000 0.000
0.000 0.000 0.500
```

SG ... P4/mmm, No. 123
Formation energy (no corrections) ... 1.595 eV per atom
DOS at the Fermi energy ... 3.637 states/eV per cell

---

(4)
## LaTeBr2 (GGA-PBEsol)

Data for a geometry-optimized LaTeBr2 structure.

Structure (POSCAR):
```
LaTeBr2
1.0
4.672 0.000 0.000
0.000 4.638 0.000
-1.832 0.000 5.567
La Te Br
1 1 2
Direct
0.000 0.000 0.000
0.575 0.500 0.153
0.178 0.000 0.535
0.716 0.500 0.687
```

SG ... Pm, No. 6
Formation energy (no corrections) ... -1.356 eV per atom
DOS at the Fermi energy ... 1.028 states/eV per cell

---

(5)
## La3TeBr (GGA-PBEsol)

Data for a geometry-optimized La3TeBr structure.

Structure (POSCAR):
```
La3TeBr
1.0
5.950 0.000 0.000
0.000 5.950 0.000
0.000 0.000 5.950
La Te Br
3 1 1
Direct
0.000 0.000 0.500
0.000 0.500 0.000
0.500 0.000 0.000
0.000 0.000 0.000
0.500 0.500 0.500
```

SG ... Pm-3m, No. 221
Formation energy (no corrections) ... -0.255 eV per atom
DOS at the Fermi energy ... 8.204 states/eV per cell

---

(6)
## LaTe2Br (GGA-PBEsol)

Data for a geometry-optimized LaTe2Br structure.

Structure (POSCAR):
```
LaTe2Br
1.0
0.000 3.846 3.846
3.846 0.000 3.846
3.846 3.846 0.000
La Te Br
1 2 1
Direct
0.000 0.000 0.000
0.500 0.500 0.500
0.750 0.750 0.750
0.250 0.250 0.250
```

SG ... F-43m, No. 216
Formation energy (no corrections) ... -0.862 eV per atom
DOS at the Fermi energy ... 4.550 states/eV per cell

---

(7)
## LaTe3Br (GGA-PBEsol)

Data for a geometry-optimized LaTe3Br structure.

Structure (POSCAR):
```
LaTe3Br
1.0
5.462 0.000 0.000
0.000 5.462 0.000
0.000 0.000 5.462
La Te Br
1 3 1
Direct
0.000 0.000 0.000
0.000 0.500 0.500
0.500 0.000 0.500
0.500 0.500 0.000
0.500 0.500 0.500
```

SG ... Pm-3m, No. 221
Formation energy (no corrections) ... -0.177 eV per atom
DOS at the Fermi energy ... 3.862 states/eV per cell

---

(8)
## LaTe3Br (GGA-PBEsol)

Data for a geometry-optimized LaTe3Br structure.

Structure (POSCAR):
```
LaTe3Br
1.0
6.048 0.000 0.000
0.000 6.048 0.000
0.000 0.000 6.048
La Te Br
1 3 1
Direct
0.000 0.000 0.000
0.000 0.000 0.500
0.000 0.500 0.000
0.500 0.000 0.000
0.500 0.500 0.500
```

SG ... Pm-3m, No. 221
Formation energy (no corrections) ... 0.054 eV per atom
DOS at the Fermi energy ... 9.581 states/eV per cell

---

(9)
## LaTe2Br (GGA-PBEsol)

Data for a geometry-optimized LaTe2Br structure.

Structure (POSCAR):
```
LaTe2Br
1.0
4.444 0.000 0.000
0.000 4.465 0.000
0.000 0.000 5.589
La Te Br
1 2 1
Direct
0.000 0.000 0.000
0.000 0.500 0.500
0.500 0.000 0.500
0.500 0.500 0.000
```

SG ... Pmmm, No. 47
Formation energy (no corrections) ... -1.104 eV per atom
DOS at the Fermi energy ... 1.349 states/eV per cell

---

(10)
## LaTeBr (GGA-PBEsol)

Data for a geometry-optimized LaTeBr structure.

Structure (POSCAR):
```
LaTeBr
1.0
0.000 3.701 3.701
3.701 0.000 3.701
3.701 3.701 0.000
La Te Br
1 1 1
Direct
0.000 0.000 0.000
0.750 0.750 0.750
0.250 0.250 0.250
```

SG ... F-43m, No. 216
Formation energy (no corrections) ... -1.662 eV per atom
DOS at the Fermi energy ... 0.000 states/eV per cell

---

(11)
## La2TiBr (GGA-PBEsol)

Data for a geometry-optimized La2TiBr structure.

Structure (POSCAR):
```
La2TiBr
1.0
0.000 3.780 3.780
3.780 0.000 3.780
3.780 3.780 0.000
La Ti Br
2 1 1
Direct
0.250 0.250 0.250
0.750 0.750 0.750
0.000 0.000 0.000
0.500 0.500 0.500
```

SG ... Fm-3m, No. 225
Formation energy (no corrections) ... -0.004 eV per atom
DOS at the Fermi energy ... 5.405 states/eV per cell

---

(12)
## LaTiBr2 (GGA-PBEsol)

Data for a geometry-optimized LaTiBr2 structure.

Structure (POSCAR):
```
LaTiBr2
1.0
1.771 1.023 9.589
-1.771 1.023 9.589
0.000 -2.045 9.589
La Ti Br
1 1 2
Direct
0.000 0.000 0.000
0.500 0.500 0.500
0.411 0.411 0.411
0.589 0.589 0.589
```

SG ... R-3m, No. 166
Formation energy (no corrections) ... -0.687 eV per atom
DOS at the Fermi energy ... 4.346 states/eV per cell